# ScSiNi6

A crystal of ScSiNi6 relaxed with PBEsol (SCAN, the Alexandria database).

Structure (extended XYZ):
```
32
Lattice="6.162 -0.001 0.000 -2.183 5.762 0.000 0.000 0.000 10.119" Properties=species:S:1:pos:R:3 pbc="T T T"
Ni 1.989 2.881 5.059
Si 4.204 1.351 0.000
Si -0.225 4.410 0.000
Ni -0.020 2.243 1.202
Sc -0.171 4.373 5.059
Ni -0.093 4.319 2.412
Ni 1.902 4.942 6.403
Ni 0.031 2.232 6.403
Ni 1.989 2.881 0.000
Ni 4.072 1.442 7.707
Ni 4.072 1.442 2.412
Ni 0.000 0.000 5.059
Si 1.989 2.881 2.500
Sc 0.000 0.000 7.603
Ni 0.000 0.000 0.000
Ni 2.105 0.776 8.917
Ni 0.031 2.232 3.716
Ni 3.999 3.518 1.202
Ni 2.105 0.776 1.202
Ni 3.948 3.529 6.403
Ni 1.902 4.942 3.716
Ni 2.076 0.819 6.403
Ni 1.874 4.985 1.202
Ni -0.020 2.243 8.917
Ni 1.874 4.985 8.917
Ni 3.948 3.529 3.716
Ni 3.999 3.518 8.917
Ni 2.076 0.819 3.716
Sc 0.000 0.000 2.516
Si 1.989 2.881 7.618
Sc 4.150 1.389 5.059
Ni -0.093 4.319 7.707
```

Computed properties:
Space group = Cmmm
Electronic total energy = -124.53 eV/f.u.
Volume = 11.23 A^3/atom
Total magnetic moment = 0.109 μB per atom
Energy relative to the elements, uncorrected = -0.40 eV/atom